8
Lattice="7.420 0.000 0.000 0.000 7.420 0.000 3.710 3.710 2.714" Properties=species:S:1:pos:R:3 comment="MgTi2Ir | Alexandria via LeMat-Bulk | GGA-PBE | optimized geometry" sg=I-42d formation_energy_ev_per_atom=-0.0601 final_energy_ev_per_cell=-52.972 magnetic_moment_mub_per_atom=0.000 pbc="T T T"
Mg 3.710 3.710 0.000
Mg 3.710 7.420 1.357
Ir 0.000 0.000 0.000
Ir 7.420 3.710 1.357
Ti 5.956 1.855 0.679
Ti 1.464 5.565 0.679
Ti 5.565 5.174 2.036
Ti 9.275 9.667 2.036

***

4
Lattice="4.442 0.000 0.000 2.221 3.847 0.000 2.221 1.282 3.627" Properties=species:S:1:pos:R:3 comment="MgTiVIr | Alexandria via LeMat-Bulk | GGA-PBE | optimized geometry" sg=F-43m formation_energy_ev_per_atom=-0.2703 final_energy_ev_per_cell=-28.550 magnetic_moment_mub_per_atom=0.660 pbc="T T T"
Mg 2.221 1.282 0.907
Ir 4.442 2.565 1.814
Ti 6.664 3.847 2.720
V 0.000 0.000 0.000

***

20
Lattice="3.746 0.000 0.000 0.000 9.507 0.000 0.000 0.000 9.507" Properties=species:S:1:pos:R:3 comment="MgZr2Ti2Ir5 | Alexandria via LeMat-Bulk | GGA-PBE | optimized geometry" sg=P4/mbm formation_energy_ev_per_atom=-0.5555 final_energy_ev_per_cell=-168.680 magnetic_moment_mub_per_atom=0.000 pbc="T T T"
Mg 0.000 0.000 0.000
Mg 0.000 4.754 4.754
Zr 0.000 6.437 1.683
Zr 0.000 3.070 7.824
Zr 0.000 1.683 3.070
Zr 0.000 7.824 6.437
Ti 0.000 1.168 5.921
Ti 0.000 8.339 3.586
Ti 0.000 5.921 8.339
Ti 0.000 3.586 1.168
Ir 1.873 1.955 0.617
Ir 1.873 7.552 8.890
Ir 1.873 0.617 7.552
Ir 1.873 6.709 4.136
Ir 1.873 8.890 1.955
Ir 1.873 2.799 5.371
Ir 1.873 5.371 6.709
Ir 1.873 4.136 2.799
Ir 1.873 4.754 0.000
Ir 1.873 0.000 4.754

***

4
Lattice="-0.219 4.549 -0.361 -2.335 -0.251 -1.752 -3.103 0.191 4.280" Properties=species:S:1:pos:R:3 comment="MgTlIr2 | Alexandria via LeMat-Bulk | GGA-PBE | optimized geometry" sg=P2/m formation_energy_ev_per_atom=0.2200 final_energy_ev_per_cell=-20.803 magnetic_moment_mub_per_atom=0.000 pbc="T T T"
Ir -2.366 -0.235 -1.528
Ir -2.688 -0.046 1.041
Mg -1.469 2.259 0.451
Tl -4.188 2.229 1.715

***

4
Lattice="-0.211 7.570 0.269 -3.962 5.424 3.509 4.387 -6.158 -0.515" Properties=species:S:1:pos:R:3 comment="MgTl2Ir | Alexandria via LeMat-Bulk | GGA-PBE | optimized geometry" sg=Immm formation_energy_ev_per_atom=0.0449 final_energy_ev_per_cell=-15.008 magnetic_moment_mub_per_atom=0.000 pbc="T T T"
Ir 1.045 3.955 0.822
Mg -0.831 2.881 2.442
Tl -3.850 11.990 3.486
Tl -2.409 7.501 2.181

***

3
Lattice="4.525 0.000 0.000 2.262 3.919 0.000 2.262 1.306 3.695" Properties=species:S:1:pos:R:3 comment="MgTlIr | Alexandria via LeMat-Bulk | GGA-PBE | optimized geometry" sg=F-43m formation_energy_ev_per_atom=0.0422 final_energy_ev_per_cell=-12.695 magnetic_moment_mub_per_atom=0.000 pbc="T T T"
Ir 2.262 1.306 0.924
Mg 0.000 0.000 0.000
Tl 4.525 2.612 1.847

***

4
Lattice="-1.321 1.615 4.400 2.823 -1.122 1.259 2.283 4.688 -1.035" Properties=species:S:1:pos:R:3 comment="MgTl2Ir | Alexandria via LeMat-Bulk | GGA-PBE | optimized geometry" sg=P2/m formation_energy_ev_per_atom=0.2963 final_energy_ev_per_cell=-14.003 magnetic_moment_mub_per_atom=0.000 pbc="T T T"
Ir 0.616 1.699 2.256
Mg 3.169 3.482 2.368
Tl 0.074 0.003 0.021
Tl 2.479 1.780 0.091

***

8
Lattice="-0.234 5.298 5.238 -6.787 -2.313 2.037 -2.395 -0.215 5.414" Properties=species:S:1:pos:R:3 comment="MgTlIr2 | Alexandria via LeMat-Bulk | GGA-PBE | optimized geometry" sg=I-42d formation_energy_ev_per_atom=0.6032 final_energy_ev_per_cell=-38.540 magnetic_moment_mub_per_atom=0.000 pbc="T T T"
Tl 0.000 0.000 0.000
Tl -3.070 3.288 7.145
Ir -1.592 2.936 4.850
Ir -4.871 -0.805 3.314
Ir -4.471 0.944 6.801
Ir -7.898 2.465 10.414
Mg -3.511 1.493 3.638
Mg -6.346 -0.518 5.544